## PmDy4P5 (PBE)

Data for PmDy4P5 after structural relaxation.

Output
total magnetic moment: 0.000 μB/atom
D(E_F): 3.101 states/eV per cell
calculated formation energy: -1.600 eV/atom

Unit cell a=4.0335 b=5.7026 c=20.1560 alpha=90.00 beta=90.00 gamma=90.00
Closest atoms and distances in Å follow each position.
Space group Immm (No. 71)
Inequivalent atoms, fractional coordinates:
Pm: 0.0000 0.0000 0.0000 [2 per cell]  6 P 2.85-2.89
Dy: 0.0000 0.0000 0.2012 [4 per cell]  6 P 2.83-2.85
Dy: 0.0000 0.0000 0.3993 [4 per cell]  6 P 2.84-2.86
P: 0.0000 0.5000 0.0000 [2 per cell]  2 Pm 2.85, 4 Dy 2.86
P: 0.0000 0.5000 0.1998 [4 per cell]  6 Dy 2.84-2.85
P: 0.0000 0.5000 0.3972 [4 per cell]  4 Dy 2.83-2.85, 2 Pm 2.89


## PmEuZnBi (PBE)

Data for PmEuZnBi after structural relaxation.

Output
total magnetic moment: 1.906 μB/atom
D(E_F): 17.241 states/eV per cell
calculated formation energy: -0.464 eV/atom

Unit cell a=7.7257 b=7.7257 c=7.7257 alpha=90.00 beta=90.00 gamma=90.00
Closest atoms and distances in Å follow each position.
Space group F-43m (No. 216)
Inequivalent atoms, fractional coordinates:
Pm: 0.0000 0.0000 0.0000 [4 per cell]  4 Bi 3.35, 4 Zn 3.35
Eu: 0.0000 0.0000 0.5000 [4 per cell]  4 Zn 3.35, 4 Bi 3.35
Zn: 0.2500 0.2500 0.7500 [4 per cell]  4 Pm 3.35, 4 Eu 3.35
Bi: 0.2500 0.2500 0.2500 [4 per cell]  4 Pm 3.35, 4 Eu 3.35


## Ac6PmNd8 (PBE)

Data for Ac6PmNd8 after structural relaxation.

Output
total magnetic moment: 0.000 μB/atom
D(E_F): 71.221 states/eV per cell
calculated formation energy: 0.112 eV/atom

Unit cell a=9.6019 b=9.6019 c=22.1041 alpha=90.00 beta=90.00 gamma=120.00
Closest atoms and distances in Å follow each position.
Space group R-3 (No. 148, hexagonal axes)
Inequivalent atoms, fractional coordinates:
Ac: 0.0511 0.7999 0.2094 [18 per cell]  4 Nd 3.56-3.89, 1 Pm 3.65, 2 Ac 3.82
Pm: 0.0000 0.0000 0.5000 [3 per cell]  6 Ac 3.65, 6 Nd 3.75
Nd: 0.0000 0.0000 0.0748 [6 per cell]  4 Nd 3.31-3.62
Nd: 0.0811 0.5131 0.3068 [18 per cell]  3 Ac 3.56-3.89, 5 Nd 3.62-3.66, 1 Pm 3.75


Question: D(E_F) of number 2 (PmEuZnBi)?
Answer: 17.241 states/eV per cell


Question: What is the D(E_F) in the third record?
Answer: 71.221 states/eV per cell